(1)
DFT (PBE-GGA) results for PmDySe2 after structural relaxation.

Unit cell a=4.1220 b=4.1220 c=20.4011 alpha=90.00 beta=90.00 gamma=120.00
Space group R-3m (No. 166, hexagonal axes)
Symmetry-distinct sites (fractional):
Pm  0.0000  0.0000  0.0000
Dy  0.0000  0.0000  0.5000
Se  0.0000  0.0000  0.2461

Computed properties:
Relative energy among the computed polymorphs = 2 meV per atom

---

(2)
DFT (PBE-GGA) results for PmDySe2 after structural relaxation.

Unit cell a=4.0146 b=4.0146 c=21.7575 alpha=90.00 beta=90.00 gamma=120.00
Space group R3m (No. 160, hexagonal axes)
Symmetry-distinct sites (fractional):
Pm  0.0000  0.0000  0.0000
Dy  0.0000  0.0000  0.8231
Se  0.0000  0.0000  0.4134
Se  0.0000  0.0000  0.5763

Computed properties:
Relative energy among the computed polymorphs = 31 meV per atom

---

(3)
DFT (PBE-GGA) results for Pm3Dy2Se6 after structural relaxation.

Unit cell a=4.1678 b=4.1678 c=61.7667 alpha=90.00 beta=90.00 gamma=120.00
Space group R-3m (No. 166, hexagonal axes)
Symmetry-distinct sites (fractional):
Pm  0.0000  0.0000  0.0000
Pm  0.0000  0.0000  0.2782
Dy  0.0000  0.0000  0.4476
Se  0.0000  0.0000  0.0845
Se  0.0000  0.0000  0.1969
Se  0.0000  0.0000  0.3612

---

(4)
DFT (PBE-GGA) results for PmDy3Se4 after structural relaxation.

Unit cell a=4.0944 b=4.0944 c=40.4370 alpha=90.00 beta=90.00 gamma=120.00
Space group R-3m (No. 166, hexagonal axes)
Symmetry-distinct sites (fractional):
Pm  0.0000  0.0000  0.0000
Dy  0.0000  0.0000  0.2489
Dy  0.0000  0.0000  0.5000
Se  0.0000  0.0000  0.1257
Se  0.0000  0.0000  0.3776

Computed properties:
Relative energy among the computed polymorphs = 0 meV per atom

---

(5)
DFT (PBE-GGA) results for PmDy2Se after structural relaxation.

Unit cell a=3.7235 b=3.7235 c=31.3005 alpha=90.00 beta=90.00 gamma=120.00
Space group R-3m (No. 166, hexagonal axes)
Symmetry-distinct sites (fractional):
Pm  0.0000  0.0000  0.0000
Dy  0.0000  0.0000  0.1092
Se  0.0000  0.0000  0.5000

Computed properties:
Relative energy among the computed polymorphs = 238 meV per atom

---

(6)
DFT (PBE-GGA) results for Pm4DySe5 after structural relaxation.

Unit cell a=4.1788 b=4.1788 c=50.9580 alpha=90.00 beta=90.00 gamma=120.00
Space group R-3m (No. 166, hexagonal axes)
Symmetry-distinct sites (fractional):
Pm  0.0000  0.0000  0.1010
Pm  0.0000  0.0000  0.2995
Dy  0.0000  0.0000  0.5000
Se  0.0000  0.0000  0.0000
Se  0.0000  0.0000  0.1979
Se  0.0000  0.0000  0.4008

Computed properties:
Relative energy among the computed polymorphs = 0 meV per atom

---

(7)
DFT (PBE-GGA) results for PmDy4Se5 after structural relaxation.

Unit cell a=4.0938 b=4.0938 c=29.0962 alpha=90.00 beta=90.00 gamma=90.00
Space group I4/mmm (No. 139)
Symmetry-distinct sites (fractional):
Pm  0.0000  0.0000  0.0000
Dy  0.0000  0.0000  0.2039
Dy  0.0000  0.0000  0.4024
Se  0.0000  0.0000  0.1031
Se  0.0000  0.0000  0.3025
Se  0.0000  0.0000  0.5000

Computed properties:
Relative energy among the computed polymorphs = 7 meV per atom

---

(8)
DFT (PBE-GGA) results for PmDySe2 after structural relaxation.

Unit cell a=4.3240 b=9.3334 c=6.5035 alpha=90.00 beta=90.00 gamma=90.00
Space group Pmn2_1 (No. 31)
Symmetry-distinct sites (fractional):
Pm  0.0000  0.1618  0.0000
Dy  0.0000  0.5848  0.1258
Se  0.0000  0.3372  0.3600
Se  0.0000  0.8937  0.2322

Computed properties:
Relative energy among the computed polymorphs = 420 meV per atom

---

(9)
DFT (PBE-GGA) results for Pm5DySe6 after structural relaxation.

Unit cell a=7.2348 b=12.5554 c=7.2224 alpha=90.00 beta=109.59 gamma=90.00
Space group C2/m (No. 12)
Symmetry-distinct sites (fractional):
Pm  0.0000  0.0000  0.0000
Pm  0.0000  0.1677  0.5000
Pm  0.0000  0.3287  0.0000
Dy  0.0000  0.5000  0.5000
Se  0.2435  0.5000  0.2516
Se  0.2449  0.3372  0.7452

---

(10)
DFT (PBE-GGA) results for Pm4DySe6 after structural relaxation.

Unit cell a=11.8330 b=11.8330 c=14.0652 alpha=90.00 beta=90.00 gamma=120.00
Space group R-3c (No. 167, hexagonal axes)
Symmetry-distinct sites (fractional):
Pm  0.0000  0.0000  0.2500
Pm  0.0000  0.3868  0.2500
Dy  0.0000  0.0000  0.0000
Se  0.0299  0.2052  0.3851

---

(11)
DFT (PBE-GGA) results for PmDy3Se4 after structural relaxation.

Unit cell a=5.8100 b=5.8100 c=5.8100 alpha=90.00 beta=90.00 gamma=90.00
Space group Pm-3m (No. 221)
Symmetry-distinct sites (fractional):
Pm  0.0000  0.0000  0.0000
Dy  0.0000  0.5000  0.5000
Se  0.0000  0.0000  0.5000
Se  0.5000  0.5000  0.5000

Computed properties:
Relative energy among the computed polymorphs = 19 meV per atom

---

(12)
DFT (PBE-GGA) results for Pm2Dy3Se6 after structural relaxation.

Unit cell a=7.1294 b=12.2903 c=7.1341 alpha=90.00 beta=109.40 gamma=90.00
Space group C2/m (No. 12)
Symmetry-distinct sites (fractional):
Pm  0.0000  0.1651  0.0000
Dy  0.0000  0.0000  0.5000
Dy  0.0000  0.3345  0.5000
Se  0.2414  0.5000  0.7470
Se  0.2492  0.3361  0.2566

Computed properties:
Relative energy among the computed polymorphs = 0 meV per atom

---

no.,total energy (eV for the cell shown),formation energy (no corrections) (eV/atom)
1,-70.51,-1.7953
2,-70.16,-1.7664
3,-193.13,-1.8195
4,-139.96,-1.7696
5,-59.15,-0.5692
6,-177.58,-1.8167
7,-116.38,-1.7608
8,-43.66,-1.3775
9,-142.27,-1.8227
10,-380.76,-1.7226
11,-46.50,-1.7510
12,-129.75,-1.8783